# 1
Density functional theory data (GGA-PBE) for crystalline Li2Ce3TmSe6 at its relaxed geometry.

## Properties
Its raw formation energy is -161.10 kJ per mole of atoms. The density comes out at 6058 kg/m3. As for the symmetry: C2/m (12).

a = 7.1290 Å, b = 7.1290 Å, c = 7.1141 Å
α = 99.58°, β = 99.58°, γ = 120.02°
Last column: nearest neighbours and their distance in Å.
Atoms (fractional coordinates):
Se1 0.2553 0.2553 0.7663  1 Tm 2.84, 2 Li 2.85, 3 Ce 2.97-2.99
Se2 0.7447 0.7447 0.2337  1 Tm 2.84, 2 Li 2.85, 3 Ce 2.97-2.99
Se3 0.4108 0.0773 0.2310  2 Li 2.83-2.84, 1 Tm 2.84, 3 Ce 2.97-2.98
Se4 0.9227 0.5892 0.7690  2 Li 2.83-2.84, 1 Tm 2.84, 3 Ce 2.97-2.98
Se5 0.0773 0.4108 0.2310  2 Li 2.83-2.84, 1 Tm 2.84, 3 Ce 2.97-2.98
Se6 0.5892 0.9227 0.7690  2 Li 2.83-2.84, 1 Tm 2.84, 3 Ce 2.97-2.98
Ce1 0.1685 0.8315 0.5000  6 Se 2.97-2.99
Ce2 0.8315 0.1685 0.5000  6 Se 2.97-2.99
Ce3 0.5000 0.5000 0.5000  6 Se 2.97-2.98
Tm1 0.0000 0.0000 0.0000  6 Se 2.84
Li1 0.6664 0.3336 0.0000  6 Se 2.83-2.85
Li2 0.3336 0.6664 0.0000  6 Se 2.83-2.85



# 2
Density functional theory data (GGA-PBE) for crystalline La2BPtS at its relaxed geometry.

## Properties
Its raw formation energy is -8.17 kJ per mole of atoms. The density comes out at 6542 kg/m3. As for the symmetry: P4/mmm (123).

a = 5.4316 Å, b = 4.4377 Å, c = 5.4316 Å
α = 90.00°, β = 90.00°, γ = 90.00°
Last column: nearest neighbours and their distance in Å.
Atoms (fractional coordinates):
La1 0.5000 0.0000 0.0000  2 S 2.72
La2 0.0000 0.0000 0.5000  2 S 2.72
B1 0.5000 0.5000 0.5000  8 La 3.51, 4 Pt 3.84
S1 0.0000 0.0000 0.0000  2 Pt 2.22
Pt1 0.0000 0.5000 0.0000  2 S 2.22



# 3
Density functional theory data (GGA-PBE) for crystalline BaCa3Cd at its relaxed geometry.

## Properties
The value obtained for the energy above the most stable polymorph in this dataset is 0 meV/atom. The density comes out at 2714 kg/m3. As for the symmetry: Pm-3m (221).

a = 6.0945 Å, b = 6.0945 Å, c = 6.0945 Å
α = 90.00°, β = 90.00°, γ = 90.00°
Last column: nearest neighbours and their distance in Å.
Atoms (fractional coordinates):
Ca1 0.0000 0.5000 0.0000  2 Cd 3.05
Ca2 0.0000 0.0000 0.5000  2 Cd 3.05
Ca3 0.5000 0.0000 0.0000  2 Cd 3.05
Ba1 0.5000 0.5000 0.5000  12 Ca 4.31
Cd1 0.0000 0.0000 0.0000  6 Ca 3.05



# 4
Density functional theory data (GGA-PBE) for crystalline MnHg2Rh at its relaxed geometry.

## Properties
The value obtained for the energy above the most stable polymorph in this dataset is 360 meV/atom. The density comes out at 11770 kg/m3. As for the symmetry: I-42d (122).

a = 7.4862 Å, b = 7.4862 Å, c = 5.9952 Å
α = 51.37°, β = 51.37°, γ = 90.00°
Last column: nearest neighbours and their distance in Å.
Atoms (fractional coordinates):
Mn1 0.2500 0.7500 0.5000  4 Hg 2.75, 2 Rh 2.81
Mn2 0.5000 0.5000 0.0000  4 Hg 2.75, 2 Rh 2.81
Hg1 0.1229 0.6250 0.2500  2 Rh 2.73, 2 Mn 2.75, 2 Hg 2.81
Hg2 0.6271 0.1250 0.2500  2 Rh 2.73, 2 Mn 2.75, 2 Hg 2.81
Hg3 0.3750 0.3729 0.7500  2 Rh 2.73, 2 Mn 2.75, 2 Hg 2.81
Hg4 0.8750 0.8771 0.7500  2 Rh 2.73, 2 Mn 2.75, 2 Hg 2.81
Rh1 0.7500 0.2500 0.5000  4 Hg 2.73, 2 Mn 2.81
Rh2 0.0000 0.0000 0.0000  4 Hg 2.73, 2 Mn 2.81



# 5
Density functional theory data (GGA-PBE) for crystalline AlInOs2 at its relaxed geometry.

## Properties
The value obtained for the energy above the most stable polymorph in this dataset is 38 meV/atom. The density comes out at 14031 kg/m3. As for the symmetry: P4/mmm (123).

a = 3.1014 Å, b = 3.1014 Å, c = 6.4257 Å
α = 90.00°, β = 90.00°, γ = 90.00°
Last column: nearest neighbours and their distance in Å.
Atoms (fractional coordinates):
In1 0.5000 0.5000 0.7500  8 Os 2.83, 4 In 3.10
Os1 0.0000 0.0000 0.0276  4 Al 2.62, 4 In 2.83, 1 Os 2.86
Os2 0.0000 0.0000 0.4724  4 Al 2.62, 4 In 2.83, 1 Os 2.86
Al1 0.5000 0.5000 0.2500  8 Os 2.62



# 6
Density functional theory data (GGA-PBE) for crystalline CaSbPb2 at its relaxed geometry.

## Properties
Its raw formation energy is -30.20 kJ per mole of atoms. The density comes out at 7505 kg/m3. As for the symmetry: Pm (6).

a = 4.8302 Å, b = 3.8589 Å, c = 7.0943 Å
α = 74.62°, β = 90.00°, γ = 90.00°
Last column: nearest neighbours and their distance in Å.
Atoms (fractional coordinates):
Pb1 0.0000 0.0541 0.0206  1 Sb 3.09, 4 Pb 3.38-3.39
Pb2 0.5000 0.4543 0.2209  4 Pb 3.38-3.39, 2 Sb 3.39, 3 Ca 3.64-3.76
Ca1 0.5000 0.7164 0.6894  4 Sb 3.20
Sb1 0.0000 0.2752 0.5690  3 Pb 3.09-3.39, 4 Ca 3.20